No. 1
Material: Rb2LiMoH6
Method: DFT, PBE-GGA
State: relaxed

Space-group type: P2_1 (4)
Crystal system: monoclinic
DFT total energy in eV per formula unit: -36.13

abc: 7.500 4.852 7.703
angles: 90.00 97.68 90.00
Positions (direct):
Rb 0.055 0.000 0.298
Rb 0.283 0.483 0.059
Rb 0.717 0.983 0.941
Rb 0.945 0.500 0.702
Li 0.292 0.975 0.715
Li 0.708 0.475 0.285
Mo 0.434 0.530 0.559
Mo 0.566 0.030 0.441
H 0.126 0.991 0.888
H 0.224 0.700 0.557
H 0.269 0.325 0.647
H 0.366 0.263 0.389
H 0.390 0.762 0.366
H 0.435 0.633 0.782
H 0.565 0.133 0.218
H 0.610 0.262 0.634
H 0.634 0.763 0.611
H 0.731 0.825 0.353
H 0.776 0.200 0.443
H 0.874 0.491 0.112

No. 2
Material: Li4ZnH12N6
Method: DFT, PBE-GGA
State: relaxed

Space-group type: C222_1 (20)
Crystal system: orthorhombic
DFT total energy in eV per formula unit: -109.80

abc: 7.992 7.992 9.774
angles: 90.00 90.00 144.79
Positions (direct):
Li 0.001 0.001 0.500
Li 0.001 0.999 0.750
Li 0.158 0.842 0.750
Li 0.344 0.656 0.250
Li 0.656 0.344 0.750
Li 0.842 0.158 0.250
Li 0.999 0.001 0.250
Li 0.999 0.999 0.000
Zn 0.171 0.829 0.250
Zn 0.829 0.171 0.750
H 0.084 0.564 0.046
H 0.106 0.345 0.967
H 0.114 0.355 0.455
H 0.211 0.648 0.632
H 0.334 0.494 0.846
H 0.345 0.106 0.033
H 0.352 0.789 0.868
H 0.355 0.114 0.545
H 0.374 0.463 0.387
H 0.436 0.916 0.454
H 0.463 0.374 0.613
H 0.494 0.334 0.154
H 0.506 0.666 0.654
H 0.537 0.626 0.113
H 0.564 0.084 0.954
H 0.626 0.537 0.887
H 0.645 0.886 0.045
H 0.648 0.211 0.368
H 0.655 0.894 0.533
H 0.666 0.506 0.346
H 0.789 0.352 0.132
H 0.886 0.645 0.955
H 0.894 0.655 0.467
H 0.916 0.436 0.546
N 0.003 0.494 0.144
N 0.124 0.298 0.875
N 0.161 0.322 0.370
N 0.298 0.124 0.125
N 0.322 0.161 0.630
N 0.494 0.003 0.856
N 0.506 0.997 0.356
N 0.678 0.839 0.130
N 0.702 0.876 0.625
N 0.839 0.678 0.870
N 0.876 0.702 0.375
N 0.997 0.506 0.644

No. 3
Material: Na2LiH6Os
Method: DFT, PBE-GGA
State: relaxed

Space-group type: Fm-3m (225)
Crystal system: cubic
DFT total energy in eV per formula unit: -37.52

abc: 5.110 5.110 5.110
angles: 60.00 60.00 60.00
Positions (direct):
Na 0.250 0.250 0.250
Na 0.750 0.750 0.750
Li 0.000 0.000 0.000
H 0.262 0.262 0.738
H 0.262 0.738 0.262
H 0.262 0.738 0.738
H 0.738 0.262 0.262
H 0.738 0.262 0.738
H 0.738 0.738 0.262
Os 0.500 0.500 0.500

No. 4
Material: NaLiH2Pd
Method: DFT, PBE-GGA
State: relaxed

Space-group type: I4mm (107)
Crystal system: tetragonal
DFT total energy in eV per formula unit: -16.74

abc: 3.286 3.286 11.176
angles: 90.00 90.00 90.00
Positions (direct):
Na 0.000 0.000 0.000
Na 0.500 0.500 0.500
Li 0.000 0.000 0.276
Li 0.500 0.500 0.776
H 0.000 0.000 0.503
H 0.000 0.000 0.806
H 0.500 0.500 0.003
H 0.500 0.500 0.306
Pd 0.000 0.000 0.657
Pd 0.500 0.500 0.157